Entry 1:
This record from the Open Quantum Materials Database describes crystalline Hf2ZrCo at its relaxed geometry. The functional is PBE.

Structure (POSCAR):
```
Hf2ZrCo
1.0
0.000 3.361 3.361
3.361 0.000 3.361
3.361 3.361 0.000
Hf Zr Co
2 1 1
direct
0.000 0.000 0.000
0.750 0.750 0.750
0.500 0.500 0.500
0.250 0.250 0.250
```

Summary:
Calculated formation energy in eV/atom: 0.1455
M_tot in μB/atom: 0.0003

Entry 2:
This record from the Open Quantum Materials Database describes crystalline UBiPb at its relaxed geometry. The functional is PBE.

Structure (POSCAR):
```
UBiPb
1.0
1.825 -4.811 1.086
-2.380 -2.956 3.641
-2.750 -4.244 -1.444
U Pb Bi
1 1 1
direct
0.250 0.250 0.250
0.500 0.500 0.500
0.000 0.000 0.000
```

Summary:
E in eV/atom: -5.894
M_tot in μB/atom: 0.8726

Entry 3:
This record from the Open Quantum Materials Database describes crystalline TmInNi at its relaxed geometry. The functional is PBE.

Structure (POSCAR):
```
TmInNi
1.0
-3.452 -0.158 -5.904
6.830 -0.394 -0.019
-0.257 -4.478 0.270
In Tm Ni
3 3 3
direct
0.333 0.667 0.000
0.000 0.000 0.500
0.667 0.333 0.000
0.450 0.450 0.500
0.550 0.000 0.500
0.000 0.550 0.500
0.777 0.777 0.000
0.000 0.223 0.000
0.223 0.000 0.000
```

Summary:
E in eV/atom: -4.537
M_tot in μB/atom: 0.0006

Entry 4:
This record from the Open Quantum Materials Database describes crystalline Ba2AuS at its relaxed geometry. The functional is PBE.

Structure (POSCAR):
```
Ba2AuS
1.0
-0.921 -2.633 5.780
-3.391 -2.743 -1.790
6.360 -5.678 -3.346
Ba Au S
4 2 2
direct
0.820 0.250 0.330
0.180 0.750 0.670
0.283 0.750 0.149
0.717 0.250 0.851
0.357 0.250 0.456
0.643 0.750 0.544
0.231 0.250 0.914
0.769 0.750 0.086
```

Summary:
E in eV/atom: -4.106

Entry 5:
This record from the Open Quantum Materials Database describes crystalline ZrBeSi at its relaxed geometry. The functional is PBE.

Structure (POSCAR):
```
ZrBeSi
1.0
-2.862 1.016 -6.500
-4.246 -0.371 5.771
0.254 3.246 0.395
Be Si Zr
3 3 3
direct
0.370 0.370 0.500
0.630 0.000 0.500
0.000 0.630 0.500
0.333 0.667 0.000
0.000 0.000 0.500
0.667 0.333 0.000
0.289 0.000 0.000
0.000 0.289 0.000
0.711 0.711 0.000
```

Summary:
E in eV/atom: -5.865
M_tot in μB/atom: 0.0014

Entry 6:
This record from the Open Quantum Materials Database describes crystalline GaHgSeO at its relaxed geometry. The functional is PBE.

Structure (POSCAR):
```
GaHgSeO
1.0
-1.052 3.627 1.371
-2.394 -1.725 2.726
7.071 -0.239 6.057
Hg O Se Ga
2 2 2 2
direct
0.250 0.750 0.500
0.750 0.250 0.500
0.250 0.750 0.000
0.750 0.250 0.000
0.250 0.250 0.711
0.750 0.750 0.289
0.250 0.250 0.080
0.750 0.750 0.920
```

Summary:
E in eV/atom: -3.272

Entry 7:
This record from the Open Quantum Materials Database describes crystalline Sc4Zn3W2C3 at its relaxed geometry. The functional is PBE.

Structure (POSCAR):
```
Sc4Zn3W2C3
1.0
5.587 0.000 0.000
-2.771 4.852 0.000
-0.251 -3.098 13.678
C Sc W Zn
6 8 4 6
direct
0.000 0.500 0.000
0.817 0.159 0.500
0.183 0.841 0.500
0.341 0.183 0.000
0.500 0.500 0.500
0.659 0.817 0.000
0.117 0.103 0.403
0.048 0.909 0.097
0.300 0.786 0.903
0.883 0.897 0.597
0.187 0.549 0.597
0.700 0.214 0.097
0.952 0.091 0.903
0.813 0.451 0.403
0.347 0.546 0.072
0.653 0.454 0.928
0.525 0.225 0.572
0.475 0.775 0.428
0.418 0.933 0.252
0.154 0.404 0.250
0.681 0.665 0.248
0.582 0.067 0.748
0.846 0.596 0.750
0.319 0.335 0.752
```

Summary:
E in eV/atom: -7.284
M_tot in μB/atom: 0.0000

Entry 8:
This record from the Open Quantum Materials Database describes crystalline Gd2GePb at its relaxed geometry. The functional is PBE.

Structure (POSCAR):
```
Gd2GePb
1.0
4.217 0.000 0.000
0.000 2.230 5.678
0.000 -2.230 5.678
Gd Pb Ge
2 1 1
direct
0.500 0.133 0.133
0.000 0.858 0.858
0.500 0.413 0.413
0.000 0.596 0.596
```

Summary:
E in eV/atom: -5.054
M_tot in μB/atom: 0.0028

Entry 9:
This record from the Open Quantum Materials Database describes crystalline CsAgTe3W at its relaxed geometry. The functional is PBE.

Structure (POSCAR):
```
CsAgTe3W
1.0
-3.640 6.190 5.157
-0.407 -7.248 -5.046
1.865 -6.213 8.773
Cs Ag Te W
2 2 6 2
direct
0.261 0.739 0.750
0.739 0.261 0.250
0.042 0.958 0.250
0.958 0.042 0.750
0.110 0.890 0.474
0.110 0.890 0.026
0.565 0.435 0.750
0.890 0.110 0.526
0.435 0.565 0.250
0.890 0.110 0.974
0.500 0.500 0.000
0.500 0.500 0.500
```

Summary:
E in eV/atom: -4.433
M_tot in μB/atom: 0.3352

Entry 10:
This record from the Open Quantum Materials Database describes crystalline LuHfFeGe at its relaxed geometry. The functional is PBE.

Structure (POSCAR):
```
LuHfFeGe
1.0
2.202 -3.980 0.784
-1.831 -3.978 -1.461
1.948 -2.289 -3.503
Fe Ge Hf Lu
1 1 1 1
direct
0.750 0.750 0.750
0.000 0.000 0.000
0.500 0.500 0.500
0.250 0.250 0.250
```

Summary:
E in eV/atom: -6.758
M_tot in μB/atom: 0.1919

Entry 11:
This record from the Open Quantum Materials Database describes crystalline MgUSi at its relaxed geometry. The functional is PBE.

Structure (POSCAR):
```
MgUSi
1.0
0.000 3.371 3.371
3.371 0.000 3.371
3.371 3.371 0.000
Mg Si U
1 1 1
direct
0.250 0.250 0.250
0.750 0.750 0.750
0.000 0.000 0.000
```

Summary:
E in eV/atom: -5.311
M_tot in μB/atom: 0.8740

Entry 12:
This record from the Open Quantum Materials Database describes crystalline ScGaNiMo at its relaxed geometry. The functional is PBE.

Structure (POSCAR):
```
ScGaNiMo
1.0
3.713 -2.126 1.170
2.644 1.710 3.123
0.283 -1.946 3.976
Ga Ni Sc Mo
1 1 1 1
direct
0.000 0.000 0.000
0.750 0.750 0.750
0.500 0.500 0.500
0.250 0.250 0.250
```

Summary:
E in eV/atom: -6.460
M_tot in μB/atom: 0.4458